Run 1
Entry from OQMD: a geometry-optimized TaCdBi structure (GGA-PBE).

Lattice parameters (Å, degrees): 4.8344 4.8344 4.8344 60.00 60.00 60.00
With the nearest neighbours (Å) after each atom.
Sites, in units of the cell vectors:
1 Bi 0.2500 0.2500 0.2500  4 Ta 2.96
2 Ta 0.0000 0.0000 0.0000  4 Cd 2.96, 4 Bi 2.96
3 Cd 0.7500 0.7500 0.7500  4 Ta 2.96

Output
density = 10.44 g/cm3

Run 2
Entry from OQMD: a geometry-optimized TaCdBi structure (GGA-PBE).

Lattice parameters (Å, degrees): 4.8677 4.8677 4.8677 60.00 60.00 60.00
With the nearest neighbours (Å) after each atom.
Sites, in units of the cell vectors:
1 Ta 0.7500 0.7500 0.7500  4 Bi 2.98
2 Cd 0.2500 0.2500 0.2500  4 Bi 2.98
3 Bi 0.0000 0.0000 0.0000  4 Ta 2.98, 4 Cd 2.98

Output
density = 10.23 g/cm3

Tell me which of them is the least stable. Sure, it is run 2.

Run 1
Entry from OQMD: a geometry-optimized ZrCdBi structure (GGA-PBE).

Lattice parameters (Å, degrees): 4.9628 4.9628 4.9628 60.00 60.00 60.00
With the nearest neighbours (Å) after each atom.
Sites, in units of the cell vectors:
1 Zr 0.0000 0.0000 0.0000  4 Cd 3.04, 4 Bi 3.04
2 Cd 0.7500 0.7500 0.7500  4 Zr 3.04
3 Bi 0.2500 0.2500 0.2500  4 Zr 3.04

Output
density = 7.93 g/cm3

Run 2
Entry from OQMD: a geometry-optimized ZrCdBi structure (GGA-PBE).

Lattice parameters (Å, degrees): 4.9753 4.9753 4.9753 60.00 60.00 60.00
With the nearest neighbours (Å) after each atom.
Sites, in units of the cell vectors:
1 Zr 0.7500 0.7500 0.7500  4 Bi 3.05
2 Bi 0.0000 0.0000 0.0000  4 Cd 3.05, 4 Zr 3.05
3 Cd 0.2500 0.2500 0.2500  4 Bi 3.05

Output
density = 7.87 g/cm3

Tell me which of them is the least stable. Sure, it is run 2.